Mg6Zn12Ir | PBE | relaxed

abc: 6.869 6.869 6.869
angles: 93.52 93.52 93.52
Fractional coordinates of all 19 atoms:
Mg 0.217 0.383 0.758
Mg 0.242 0.783 0.617
Mg 0.383 0.758 0.217
Mg 0.617 0.242 0.783
Mg 0.758 0.217 0.383
Mg 0.783 0.617 0.242
Zn 0.036 0.716 0.959
Zn 0.041 0.964 0.284
Zn 0.132 0.441 0.361
Zn 0.284 0.041 0.964
Zn 0.361 0.132 0.441
Zn 0.441 0.361 0.132
Zn 0.559 0.639 0.868
Zn 0.639 0.868 0.559
Zn 0.716 0.959 0.036
Zn 0.868 0.559 0.639
Zn 0.959 0.036 0.716
Zn 0.964 0.284 0.041
Ir 0.500 0.500 0.500

density of states at the Fermi level	6.04	states/eV/cell
SG	R-3
energy relative to the elements	-134	meV/atom
total DFT energy (no corrections)	-36.26	eV/f.u.